The following is a PBE calculation of La5TbPr3 after structural relaxation, from the Alexandria database.

The value obtained for the density of states at the Fermi level is 1.7526 states/eV per atom. The calculation puts the energy relative to the elements at 215.0 kJ/mol of formula units. Its final energy is -4.60 eV/atom.

Cell: 10.1849 10.1849 10.1849 Å, 126.83 126.83 78.53°
Closest atoms and distances in Å follow each position.
Positions (direct):
La 0.0000 0.0000 0.0000  6 Pr 3.65-3.94, 8 La 3.94
La 0.0679 0.5679 0.9140  1 Pr 3.16, 1 Tb 3.19
La 0.1539 0.0679 0.5000  1 Pr 3.16, 1 Tb 3.19
La 0.3461 0.8461 0.9140  1 Pr 3.16, 1 Tb 3.19
La 0.4321 0.3461 0.5000  1 Pr 3.16, 1 Tb 3.19
La 0.5000 0.5000 0.0000  6 Pr 3.65-3.94, 8 La 3.94
La 0.5679 0.6539 0.5000  1 Pr 3.16, 1 Tb 3.19
La 0.6539 0.1539 0.0860  1 Pr 3.16, 1 Tb 3.19
La 0.8461 0.9321 0.5000  1 Pr 3.16, 1 Tb 3.19
La 0.9321 0.4321 0.0860  1 Pr 3.16, 1 Tb 3.19
Tb 0.2500 0.7500 0.5000  4 La 3.19
Tb 0.7500 0.2500 0.5000  4 La 3.19
Pr 0.1169 0.3831 0.5000  1 Pr 3.01, 2 La 3.16
Pr 0.2500 0.2500 0.0000  10 La 3.71-3.94
Pr 0.3831 0.8831 0.2662  1 Pr 3.01, 2 La 3.16
Pr 0.6169 0.1169 0.7338  1 Pr 3.01, 2 La 3.16
Pr 0.7500 0.7500 0.0000  10 La 3.71-3.94
Pr 0.8831 0.6169 0.5000  1 Pr 3.01, 2 La 3.16